# PuAgHg4 (PBE, relaxed)
# Crystal system = monoclinic
# Calculated formation energy = -0.0230 eV per atom
data_PuAgHg4
_chemical_formula_sum 'Pu1 Ag1 Hg4'
_cell_length_a 4.4499
_cell_length_b 3.1504
_cell_length_c 9.9858
_cell_angle_alpha 90.00
_cell_angle_beta 90.06
_cell_angle_gamma 90.00
_space_group_name_H-M_alt 'P 1 2/m 1'
_space_group_IT_number 10
_space_group_name_Hall '-P 2y'
loop_
_atom_site_label
_atom_site_type_symbol
_atom_site_fract_x
_atom_site_fract_y
_atom_site_fract_z
_atom_site_occupancy
Pu1 Pu 0.0000 0.0000 0.0000 1
Ag1 Ag 0.5000 0.5000 0.5000 1
Hg1 Hg 0.0002 0.0000 0.3479 1
Hg2 Hg 0.5002 0.5000 0.1811 1